An optimized crystal structure of AcSm2S5. Source: Alexandria via LeMat-Bulk, functional PBE.

abc: 7.572 7.572 8.414
angles: 116.74 116.74 90.00
Sites, in units of the cell vectors:
Sm1 0.842 0.658 0.000
Sm2 0.342 0.842 0.000
Sm3 0.158 0.342 0.000
Sm4 0.658 0.158 0.000
Ac1 0.250 0.250 0.500
Ac2 0.750 0.750 0.500
S1 0.509 0.707 0.717
S2 0.793 0.991 0.283
S3 0.293 0.793 0.283
S4 0.500 0.500 0.000
S5 0.000 0.000 0.000
S6 0.491 0.293 0.283
S7 0.207 0.009 0.717
S8 0.991 0.491 0.283
S9 0.009 0.509 0.717
S10 0.707 0.207 0.717

* E_form (uncorrected): -1.87 eV per atom
* uncorrected energy: -98.23 eV per cell
* SG: I4/mcm, No. 140